Record 1
The following is a DFT calculation (PBE) of crystalline ReRu3 at its relaxed geometry.

Unit cell a=5.086 b=5.086 c=5.086 alpha=117.00 beta=117.00 gamma=117.00
Sites, in units of the cell vectors:
Re: 0.000 0.000 0.000
Ru: 0.000 0.500 0.500
Ru: 0.500 0.000 0.500
Ru: 0.500 0.500 0.000

The space-group type is R-3m (166). Its energy above the lowest structure with this stoichiometry is 602 meV/atom. Its volume is 14.52 A^3/atom. The density of states at the Fermi level is 1.6581 states/eV/atom. As for the formation energy: 2.060 eV per formula unit.



Record 2
The following is a DFT calculation (PBE) of crystalline Ho2Er7In at its relaxed geometry.

Unit cell a=9.174 b=9.174 c=5.243 alpha=90.00 beta=90.00 gamma=124.04
Sites, in units of the cell vectors:
Ho: 0.207 0.793 0.000
Ho: 0.793 0.207 0.000
Er: 0.000 0.000 0.000
Er: 0.217 0.428 0.000
Er: 0.302 0.698 0.500
Er: 0.428 0.217 0.000
Er: 0.572 0.783 0.000
Er: 0.698 0.302 0.500
Er: 0.783 0.572 0.000
In: 0.500 0.500 0.500

The space-group type is Cmmm (65). Its volume is 36.57 A^3/atom. The density of states at the Fermi level is 0.9305 states/eV/atom. As for the formation energy: 6.015 eV per formula unit.



Summary of magnetic moment in Bohr magnetons per cell
0.0; 0.0
(order as listed above)